1.
The following is a DFT calculation (GGA-PBE) of a relaxed CuSiCl crystal.

```
data_CuSiCl
_cell_length_a 3.573
_cell_length_b 5.432
_cell_length_c 11.533
_cell_angle_alpha 90.00
_cell_angle_beta 90.00
_cell_angle_gamma 90.00
_symmetry_space_group_name_H-M 'F m m 2'
_symmetry_Int_Tables_number 42
_symmetry_space_group_name_Hall 'F 2 -2'
loop_
_atom_site_label
_atom_site_fract_x
_atom_site_fract_y
_atom_site_fract_z
Cu1 0.000 0.000 0.000
Si1 0.000 0.000 0.367
Cl1 0.000 0.000 0.630
```

Summary:
Relative energy among the computed polymorphs = 0.3216 eV/atom
Final energy = -3.5998 eV/atom
Density of states at the Fermi level = 0.166 states/eV per atom
Formation energy without anion corrections = 189 meV per atom

---

2.
The following is a DFT calculation (GGA-PBE) of a relaxed CuSi2Cl crystal.

```
data_CuSi2Cl
_cell_length_a 5.566
_cell_length_b 5.566
_cell_length_c 11.475
_cell_angle_alpha 90.00
_cell_angle_beta 90.00
_cell_angle_gamma 90.00
_symmetry_space_group_name_H-M 'I -4 2 d'
_symmetry_Int_Tables_number 122
_symmetry_space_group_name_Hall 'I -4 2bw'
loop_
_atom_site_label
_atom_site_fract_x
_atom_site_fract_y
_atom_site_fract_z
Cu1 0.000 0.000 0.000
Si1 0.170 0.250 0.125
Cl1 0.000 0.000 0.500
```

Summary:
Relative energy among the computed polymorphs = 0.4392 eV/atom
Final energy = -3.7875 eV/atom
Density of states at the Fermi level = 0.000 states/eV per atom
Formation energy without anion corrections = 410 meV per atom

---

3.
The following is a DFT calculation (GGA-PBE) of a relaxed CuSi2Cl crystal.

```
data_CuSi2Cl
_cell_length_a 6.337
_cell_length_b 6.337
_cell_length_c 6.337
_cell_angle_alpha 90.00
_cell_angle_beta 90.00
_cell_angle_gamma 90.00
_symmetry_space_group_name_H-M 'F -4 3 m'
_symmetry_Int_Tables_number 216
_symmetry_space_group_name_Hall 'F -4 2 3'
loop_
_atom_site_label
_atom_site_fract_x
_atom_site_fract_y
_atom_site_fract_z
Cu1 0.000 0.000 0.000
Si1 0.000 0.000 0.500
Si2 0.250 0.250 0.750
Cl1 0.250 0.250 0.250
```

Summary:
Relative energy among the computed polymorphs = 0.6102 eV/atom
Final energy = -3.6164 eV/atom
Density of states at the Fermi level = 0.421 states/eV per atom
Formation energy without anion corrections = 581 meV per atom